[1]
First-principles (PBE-GGA) data for a relaxed structure of Al2TeBr, as listed in Alexandria.

Properties
- Uncorrected formation energy: -0.089 eV/atom
- Final energy: -12.7 eV/cell

a = 4.2513 Å, b = 7.3447 Å, c = 6.0757 Å
α = 34.61°, β = 90.00°, γ = 90.00°
Closest atoms and distances in Å follow each position.
Element x y z (fractional)
Al 0.5000 0.5000 0.0000  4 Te 2.98, 2 Br 3.04
Al 0.0000 0.0000 0.0000  4 Br 2.98, 2 Te 3.04
Br 0.5000 0.5000 0.5000  6 Al 2.98-3.04
Te 0.0000 0.0000 0.5000  6 Al 2.98-3.04

[2]
First-principles (PBE-GGA) data for a relaxed structure of TaTi2NiGe, as listed in Alexandria.

Properties
- Formation enthalpy at 0 K: 0.345 eV/atom
- Final energy: -36.3 eV/cell

a = 4.4608 Å, b = 4.4608 Å, c = 4.6377 Å
α = 90.00°, β = 90.00°, γ = 90.00°
Closest atoms and distances in Å follow each position.
Element x y z (fractional)
Ta 0.0000 0.0000 0.5000  2 Ni 2.32
Ti 0.0000 0.5000 0.0000  2 Ni 2.23
Ti 0.5000 0.0000 0.0000  2 Ni 2.23
Ni 0.0000 0.0000 0.0000  4 Ti 2.23, 2 Ta 2.32
Ge 0.5000 0.5000 0.5000  4 Ta 3.15, 8 Ti 3.22

[3]
First-principles (PBE-GGA) data for a relaxed structure of TmCuB5O10, as listed in Alexandria.

Properties
- Uncorrected formation energy: -2.400 eV/atom
- Final energy: -264.7 eV/cell

a = 8.2720 Å, b = 8.2720 Å, c = 8.2720 Å
α = 135.15°, β = 117.78°, γ = 79.92°
Closest atoms and distances in Å follow each position.
Element x y z (fractional)
O 0.5435 0.9481 0.7172  1 B 1.35
O 0.9082 0.6644 0.9448  2 B 1.40-1.48
O 0.2805 0.0367 0.9448  2 B 1.40-1.48
O 0.6261 0.6467 0.2728  2 B 1.39
O 0.4082 0.4633 0.2438  2 B 1.40-1.48
O 0.2691 0.5519 0.5954  1 B 1.35
O 0.1261 0.8533 0.9793  2 B 1.39
O 0.2309 0.8263 0.2828  1 B 1.35
O 0.7309 0.4481 0.4046  1 B 1.35
O 0.7805 0.8356 0.2438  2 B 1.40-1.48
O 0.8739 0.1467 0.0207  2 B 1.39
O 0.4565 0.0519 0.2828  1 B 1.35
O 0.7195 0.9633 0.0552  2 B 1.40-1.48
O 0.3739 0.3533 0.7272  2 B 1.39
O 0.0435 0.3263 0.5954  1 B 1.35
O 0.2195 0.1644 0.7562  2 B 1.40-1.48
O 0.9565 0.6737 0.4046  1 B 1.35
O 0.5918 0.5367 0.7562  2 B 1.40-1.48
O 0.7691 0.1737 0.7172  1 B 1.35
O 0.0918 0.3356 0.0552  2 B 1.40-1.48
B 0.7090 0.0163 0.9238  3 O 1.35-1.40
B 0.2090 0.2852 0.6927  3 O 1.35-1.40
B 0.7910 0.7148 0.3073  3 O 1.35-1.40
B 0.7500 0.7500 0.0000  4 O 1.48
B 0.4075 0.4837 0.6927  3 O 1.35-1.40
B 0.2500 0.2500 0.0000  4 O 1.48
B 0.0925 0.7852 0.0762  3 O 1.35-1.40
B 0.9075 0.2148 0.9238  3 O 1.35-1.40
B 0.2910 0.9837 0.0762  3 O 1.35-1.40
B 0.5925 0.5163 0.3073  3 O 1.35-1.40
Tm 0.7500 0.2500 0.5000  8 O 2.23-2.49
Tm 0.2500 0.7500 0.5000  8 O 2.23-2.49
Cu 0.0000 0.5000 0.5000  4 O 1.99
Cu 0.5000 0.0000 0.5000  4 O 1.99

[4]
First-principles (PBE-GGA) data for a relaxed structure of AgAsBr2F, as listed in Alexandria.

Properties
- Uncorrected formation energy: 0.351 eV/atom
- Final energy: -11.0 eV/cell

a = 5.1625 Å, b = 5.1625 Å, c = 5.1953 Å
α = 90.00°, β = 90.00°, γ = 90.00°
Closest atoms and distances in Å follow each position.
Element x y z (fractional)
Br 0.5000 0.0000 0.0000  2 Ag 2.58
Br 0.0000 0.5000 0.0000  2 Ag 2.58
Ag 0.0000 0.0000 0.0000  4 Br 2.58, 2 As 2.60
F 0.5000 0.5000 0.5000  4 As 3.65, 8 Br 3.66
As 0.0000 0.0000 0.5000  2 Ag 2.60

[5]
First-principles (PBE-GGA) data for a relaxed structure of ErLuCoIr, as listed in Alexandria.

Properties
- Formation enthalpy at 0 K: -0.607 eV/atom
- Final energy: -27.5 eV/cell

a = 4.7214 Å, b = 4.7214 Å, c = 4.7214 Å
α = 60.00°, β = 60.00°, γ = 60.00°
Closest atoms and distances in Å follow each position.
Element x y z (fractional)
Ir 0.0000 0.0000 0.0000  4 Lu 2.89, 4 Er 2.89
Lu 0.2500 0.2500 0.2500  4 Co 2.89, 4 Ir 2.89
Co 0.5000 0.5000 0.5000  4 Er 2.89, 4 Lu 2.89
Er 0.7500 0.7500 0.7500  4 Co 2.89, 4 Ir 2.89

[6]
First-principles (PBE-GGA) data for a relaxed structure of AlCo2Pb, as listed in Alexandria.

Properties
- Formation enthalpy at 0 K: 0.024 eV/atom
- Final energy: -86.3 eV/cell

a = 4.1235 Å, b = 4.0548 Å, c = 15.3008 Å
α = 90.00°, β = 90.00°, γ = 90.00°
Closest atoms and distances in Å follow each position.
Element x y z (fractional)
Pb 0.5000 0.0000 0.2951  5 Co 2.88-2.92, 4 Al 3.01
Pb 0.0000 0.5000 0.4327  6 Co 2.86-2.99, 3 Al 2.94-3.00
Pb 0.0000 0.0000 0.9327  6 Co 2.86-2.99, 3 Al 2.94-3.00
Pb 0.5000 0.5000 0.7951  5 Co 2.88-2.92, 4 Al 3.01
Co 0.0000 0.5000 0.0641  6 Co 2.41-2.54
Co 0.5000 0.0000 0.4830  2 Co 2.41, 2 Al 2.47
Co 0.5000 0.5000 0.9830  2 Co 2.41, 2 Al 2.47
Co 0.5000 0.5000 0.1614  4 Al 2.39-2.42, 2 Co 2.54
Co 0.0000 0.5000 0.6600  4 Al 2.37-2.43, 2 Co 2.50
Co 0.5000 0.0000 0.6614  4 Al 2.39-2.42, 2 Co 2.54
Co 0.0000 0.0000 0.1600  4 Al 2.37-2.43, 2 Co 2.50
Co 0.0000 0.0000 0.5641  6 Co 2.41-2.54
Al 0.5000 0.5000 0.5754  6 Co 2.42-2.47
Al 0.5000 0.0000 0.0754  6 Co 2.42-2.47
Al 0.0000 0.0000 0.7403  4 Co 2.37-2.39
Al 0.0000 0.5000 0.2403  4 Co 2.37-2.39